1.
# FeAsPbSe2

Crystalline FeAsPbSe2 at its relaxed geometry (PBEsol, Alexandria via LeMat-Bulk).

a b c (Å): 4.974 4.974 4.350
angles (deg): 90.00 90.00 90.00
Fractional positions:
Fe 0.000 0.000 0.000
As 0.000 0.000 0.500
Pb 0.500 0.500 0.500
Se 0.000 0.500 0.000
Se 0.500 0.000 0.000

Calculated values
- DOS(E_F) (states/eV per atom) = 0.94
- calculated total energy (eV per atom) = -5.0487
- formation energy from raw total energies (eV/atom) = 0.11



2.
# ReIBrO2

Crystalline ReIBrO2 at its relaxed geometry (PBEsol, Alexandria via LeMat-Bulk).

a b c (Å): 3.902 3.902 5.885
angles (deg): 90.00 90.00 90.00
Fractional positions:
Re 0.000 0.000 0.000
I 0.000 0.000 0.500
Br 0.500 0.500 0.500
O 0.000 0.500 0.000
O 0.500 0.000 0.000

Calculated values
- DOS(E_F) (states/eV per atom) = 0.49
- calculated total energy (eV per atom) = -5.9247
- formation energy from raw total energies (eV/atom) = -0.43



3.
# FeAs2Pt

Crystalline FeAs2Pt at its relaxed geometry (PBEsol, Alexandria via LeMat-Bulk).

a b c (Å): 7.827 7.827 7.827
angles (deg): 21.75 21.75 21.75
Fractional positions:
Fe 0.000 0.000 0.000
As 0.259 0.259 0.259
As 0.741 0.741 0.741
Pt 0.500 0.500 0.500

Calculated values
- energy relative to the lowest polymorph listed for this composition (meV per atom) = 0
- DOS(E_F) (states/eV per atom) = 0.57
- calculated total energy (eV per atom) = -6.5537
- ΔE_f (eV per atom) = -0.019



4.
# CaAg2Br

Crystalline CaAg2Br at its relaxed geometry (PBEsol, Alexandria via LeMat-Bulk).

a b c (Å): 5.041 5.041 5.041
angles (deg): 60.00 60.00 60.00
Fractional positions:
Ca 0.000 0.000 0.000
Ag 0.250 0.250 0.250
Ag 0.750 0.750 0.750
Br 0.500 0.500 0.500

Calculated values
- energy relative to the lowest polymorph listed for this composition (meV per atom) = 421
- DOS(E_F) (states/eV per atom) = 0.67
- calculated total energy (eV per atom) = -2.7030
- formation energy from raw total energies (eV/atom) = -0.05



5.
# AlCuSnSe4

Crystalline AlCuSnSe4 at its relaxed geometry (PBEsol, Alexandria via LeMat-Bulk).

a b c (Å): 6.793 6.793 6.793
angles (deg): 132.10 132.10 70.08
Fractional positions:
Al 0.000 0.000 0.000
Cu 0.500 0.500 0.000
Sn 0.250 0.750 0.500
Se 0.098 0.154 0.502
Se 0.404 0.902 0.056
Se 0.652 0.596 0.498
Se 0.846 0.348 0.944

Calculated values
- calculated total energy (eV per atom) = -4.4878
- formation energy from raw total energies (eV/atom) = -0.48



6.
# BeAlI3

Crystalline BeAlI3 at its relaxed geometry (PBEsol, Alexandria via LeMat-Bulk).

a b c (Å): 5.467 5.467 5.467
angles (deg): 90.00 90.00 90.00
Fractional positions:
Be 0.000 0.000 0.000
Al 0.500 0.500 0.500
I 0.000 0.500 0.500
I 0.500 0.000 0.500
I 0.500 0.500 0.000

Calculated values
- DOS(E_F) (states/eV per atom) = 0.37
- calculated total energy (eV per atom) = -2.3131
- formation energy from raw total energies (eV/atom) = 0.37



7.
# MnRe2Mo

Crystalline MnRe2Mo at its relaxed geometry (PBEsol, Alexandria via LeMat-Bulk).

a b c (Å): 2.634 4.288 5.086
angles (deg): 90.00 100.58 90.00
Fractional positions:
Mn 0.000 0.000 0.000
Re 0.283 0.500 0.751
Re 0.548 0.000 0.500
Mo 0.782 0.500 0.238

Calculated values
- energy relative to the lowest polymorph listed for this composition (meV per atom) = 0
- DOS(E_F) (states/eV per atom) = 0.91
- calculated total energy (eV per atom) = -11.9074
- ΔE_f (eV per atom) = 0.141



8.
# Tb4SiBr6

Crystalline Tb4SiBr6 at its relaxed geometry (PBEsol, Alexandria via LeMat-Bulk).

a b c (Å): 13.171 13.827 3.996
angles (deg): 90.00 90.00 90.00
Fractional positions:
Tb 0.117 0.081 0.000
Tb 0.121 0.842 0.500
Tb 0.379 0.342 0.500
Tb 0.383 0.581 0.000
Tb 0.617 0.419 0.000
Tb 0.621 0.658 0.500
Tb 0.879 0.158 0.500
Tb 0.883 0.919 0.000
Si 0.000 0.000 0.500
Si 0.500 0.500 0.500
Br 0.005 0.742 0.000
Br 0.244 0.416 0.000
Br 0.249 0.668 0.500
Br 0.251 0.168 0.500
Br 0.256 0.916 0.000
Br 0.495 0.242 0.000
Br 0.505 0.758 0.000
Br 0.744 0.084 0.000
Br 0.749 0.832 0.500
Br 0.751 0.332 0.500
Br 0.756 0.584 0.000
Br 0.995 0.258 0.000

Calculated values
- DOS(E_F) (states/eV per atom) = 0.32
- calculated total energy (eV per atom) = -4.9712
- formation energy from raw total energies (eV/atom) = -1.61